Crystalline KAg3S3 at its relaxed geometry. Source: the Alexandria database, functional PBE-GGA.

Lattice parameters (Å, degrees): 7.233 7.233 8.897 66.02 66.02 60.00
Atoms (fractional coordinates):
S 0.906 0.243 0.284
S 0.433 0.094 0.716
S 0.243 0.567 0.284
S 0.567 0.906 0.284
S 0.094 0.757 0.716
S 0.757 0.433 0.716
Ag 0.206 0.878 0.365
Ag 0.122 0.448 0.635
Ag 0.448 0.794 0.635
Ag 0.552 0.206 0.365
Ag 0.794 0.122 0.635
Ag 0.878 0.552 0.365
K 0.667 0.667 0.000
K 0.333 0.333 0.000

- Fermi-level density of states (states/eV/f.u.) = 7.150
- SG = No. 148
- calculated total energy (eV per atom) = -3.346
- calculated volume (Å³ per cell) = 356.0
- spin magnetization (μB/f.u.) = 0.00